Here is TbTmLuSc after structural relaxation from Alexandria via LeMat-Bulk. Energies are from PBE.

Structure (CIF):
```
data_TbTmLuSc
_chemical_formula_sum 'Tb4 Tm4 Lu4 Sc4'
_cell_length_a 7.750
_cell_length_b 7.750
_cell_length_c 7.750
_cell_angle_alpha 90.00
_cell_angle_beta 90.00
_cell_angle_gamma 90.00
_space_group_name_H-M_alt 'F -4 3 m'
_space_group_IT_number 216
_space_group_name_Hall 'F -4 2 3'
loop_
_atom_site_label
_atom_site_fract_x
_atom_site_fract_y
_atom_site_fract_z
Tb1 0.000 0.000 0.000
Tm1 0.000 0.000 0.500
Lu1 0.250 0.250 0.750
Sc1 0.250 0.250 0.250
```

DFT formation energy   0.11 eV per atom
Energy   -4.87 eV/atom
Volume   29.1 Å³ per atom

---

Here is TbYLuSc after structural relaxation from Alexandria via LeMat-Bulk. Energies are from PBE.

Structure (CIF):
```
data_TbYLuSc
_chemical_formula_sum 'Tb4 Y4 Lu4 Sc4'
_cell_length_a 7.801
_cell_length_b 7.801
_cell_length_c 7.801
_cell_angle_alpha 90.00
_cell_angle_beta 90.00
_cell_angle_gamma 90.00
_space_group_name_H-M_alt 'F -4 3 m'
_space_group_IT_number 216
_space_group_name_Hall 'F -4 2 3'
loop_
_atom_site_label
_atom_site_fract_x
_atom_site_fract_y
_atom_site_fract_z
Tb1 0.000 0.000 0.000
Y1 0.000 0.000 0.500
Lu1 0.250 0.250 0.250
Sc1 0.250 0.250 0.750
```

DFT formation energy   0.11 eV per atom
Energy   -5.38 eV/atom
Volume   29.7 Å³ per atom

---

Here is LuSc2Tc after structural relaxation from Alexandria via LeMat-Bulk. Energies are from PBE.

Structure (CIF):
```
data_LuSc2Tc
_chemical_formula_sum 'Lu4 Sc8 Tc4'
_cell_length_a 6.910
_cell_length_b 6.910
_cell_length_c 6.910
_cell_angle_alpha 90.00
_cell_angle_beta 90.00
_cell_angle_gamma 90.00
_space_group_name_H-M_alt 'F m -3 m'
_space_group_IT_number 225
_space_group_name_Hall '-F 4 2 3'
loop_
_atom_site_label
_atom_site_fract_x
_atom_site_fract_y
_atom_site_fract_z
Lu1 0.000 0.000 0.000
Sc1 0.250 0.250 0.250
Tc1 0.000 0.000 0.500
```

DFT formation energy   0.04 eV per atom
Energy   -6.84 eV/atom
Volume   20.6 Å³ per atom
Offset from the most stable computed form   146 meV/atom

---

Copy entry 1 word for word.
Here is TbTmLuSc after structural relaxation from Alexandria via LeMat-Bulk. Energies are from PBE.

Structure (CIF):
```
data_TbTmLuSc
_chemical_formula_sum 'Tb4 Tm4 Lu4 Sc4'
_cell_length_a 7.750
_cell_length_b 7.750
_cell_length_c 7.750
_cell_angle_alpha 90.00
_cell_angle_beta 90.00
_cell_angle_gamma 90.00
_space_group_name_H-M_alt 'F -4 3 m'
_space_group_IT_number 216
_space_group_name_Hall 'F -4 2 3'
loop_
_atom_site_label
_atom_site_fract_x
_atom_site_fract_y
_atom_site_fract_z
Tb1 0.000 0.000 0.000
Tm1 0.000 0.000 0.500
Lu1 0.250 0.250 0.750
Sc1 0.250 0.250 0.250
```

DFT formation energy   0.11 eV per atom
Energy   -4.87 eV/atom
Volume   29.1 Å³ per atom